The following is a PBE calculation of a geometry-optimized TbEr5Tl2 structure, from the Alexandria database.

Computed properties:
uncorrected energy = -4.13 eV/atom
density of states at the Fermi level = 10.5 states/eV/f.u.
size of the total moment = 0.008 μB per cell
calculated volume = 29.44 Å³/atom

```
data_TbEr5Tl2
_chemical_formula_sum 'Tb2 Er10 Tl4'
_symmetry_space_group_name_H-M 'I m m m'
_symmetry_Int_Tables_number 71
_symmetry_space_group_name_Hall '-I 2 2'
_cell_length_a 3.592
_cell_length_b 10.379
_cell_length_c 12.638
_cell_angle_alpha 90.00
_cell_angle_beta 90.00
_cell_angle_gamma 90.00
loop_
_atom_site_label
_atom_site_fract_x
_atom_site_fract_y
_atom_site_fract_z
_atom_site_occupancy
Tb1 0.000 0.000 0.000 1
Er1 0.000 0.229 0.367 1
Er2 0.000 0.500 0.000 1
Tl1 0.000 0.500 0.260 1
```

---

The following is a PBE calculation of a geometry-optimized Pm3Dy6HoTh2 structure, from the Alexandria database.

Computed properties:
uncorrected energy = -5.09 eV/atom
density of states at the Fermi level = 15.9 states/eV/f.u.
size of the total moment = 0.000 μB per cell
calculated volume = 32.20 Å³/atom

```
data_Pm3Dy6HoTh2
_chemical_formula_sum 'Pm6 Dy12 Ho2 Th4'
_symmetry_space_group_name_H-M 'C 1 2/m 1'
_symmetry_Int_Tables_number 12
_symmetry_space_group_name_Hall '-C 2y'
_cell_length_a 6.199
_cell_length_b 10.730
_cell_length_c 11.802
_cell_angle_alpha 90.00
_cell_angle_beta 100.10
_cell_angle_gamma 90.00
loop_
_atom_site_label
_atom_site_fract_x
_atom_site_fract_y
_atom_site_fract_z
_atom_site_occupancy
Pm1 0.000 0.000 0.000 1
Pm2 0.000 0.333 0.000 1
Dy1 0.245 0.000 0.746 1
Dy2 0.250 0.169 0.255 1
Ho1 0.000 0.500 0.500 1
Th1 0.000 0.167 0.500 1
```

---

The following is a PBE calculation of a geometry-optimized KTa2Co structure, from the Alexandria database.

Computed properties:
uncorrected energy = -7.26 eV/atom
density of states at the Fermi level = 4.0 states/eV/f.u.
size of the total moment = 0.517 μB per cell
calculated volume = 22.75 Å³/atom

```
data_KTa2Co
_chemical_formula_sum 'K1 Ta2 Co1'
_symmetry_space_group_name_H-M 'P m m m'
_symmetry_Int_Tables_number 47
_symmetry_space_group_name_Hall '-P 2 2'
_cell_length_a 2.829
_cell_length_b 3.676
_cell_length_c 8.753
_cell_angle_alpha 90.00
_cell_angle_beta 90.00
_cell_angle_gamma 90.00
loop_
_atom_site_label
_atom_site_fract_x
_atom_site_fract_y
_atom_site_fract_z
_atom_site_occupancy
K1 0.000 0.000 0.000 1
Ta1 0.500 0.500 0.355 1
Co1 0.000 0.000 0.500 1
```

---

Repeat the first record exactly.
The following is a PBE calculation of a geometry-optimized TbEr5Tl2 structure, from the Alexandria database.

Computed properties:
uncorrected energy = -4.13 eV/atom
density of states at the Fermi level = 10.5 states/eV/f.u.
size of the total moment = 0.008 μB per cell
calculated volume = 29.44 Å³/atom

```
data_TbEr5Tl2
_chemical_formula_sum 'Tb2 Er10 Tl4'
_symmetry_space_group_name_H-M 'I m m m'
_symmetry_Int_Tables_number 71
_symmetry_space_group_name_Hall '-I 2 2'
_cell_length_a 3.592
_cell_length_b 10.379
_cell_length_c 12.638
_cell_angle_alpha 90.00
_cell_angle_beta 90.00
_cell_angle_gamma 90.00
loop_
_atom_site_label
_atom_site_fract_x
_atom_site_fract_y
_atom_site_fract_z
_atom_site_occupancy
Tb1 0.000 0.000 0.000 1
Er1 0.000 0.229 0.367 1
Er2 0.000 0.500 0.000 1
Tl1 0.000 0.500 0.260 1
```

---

Which value of size of the total moment does entry 3 give?
0.517 μB per cell

---

Which value of calculated volume does entry 1 give?
29.44 Å³/atom